Below is a relaxed TmSiIr crystal, with properties calculated at the PBE-GGA level.

Output
total DFT energy (no corrections)	-7.29	eV/atom

Lattice parameters (Å, degrees): 6.759 6.759 3.937 90.00 90.00 120.00
Element x y z (fractional)
Si: 0.333 0.667 0.000
Si: 0.667 0.333 0.000
Si: 0.000 0.000 0.500
Ir: 0.000 0.242 0.000
Ir: 0.242 0.000 0.000
Ir: 0.758 0.758 0.000
Tm: 0.582 0.000 0.500
Tm: 0.000 0.582 0.500
Tm: 0.418 0.418 0.500